Record 1
# LiTbSm2 PBE relaxed
# Crystal system: cubic
# Space group: No. 225
# ΔE_f in eV per formula unit: 0.69
data_LiTbSm2
_cell_length_a 5.5534
_cell_length_b 5.5534
_cell_length_c 5.5534
_cell_angle_alpha 60.00
_cell_angle_beta 60.00
_cell_angle_gamma 60.00
_symmetry_space_group_name_H-M 'P 1'
_symmetry_Int_Tables_number 1
loop_
_symmetry_equiv_pos_as_xyz
'x,y,z'
loop_
_atom_site_label
_atom_site_type_symbol
_atom_site_fract_x
_atom_site_fract_y
_atom_site_fract_z
Li1 Li 0.5000 0.5000 0.5000
Tb1 Tb 0.0000 0.0000 0.0000
Sm1 Sm 0.2500 0.2500 0.2500
Sm2 Sm 0.7500 0.7500 0.7500


Record 2
# Pm4Sm2Cd PBE relaxed
# Crystal system: monoclinic
# Space group: No. 12
# ΔE_f in eV per formula unit: 0.21
data_Pm4Sm2Cd
_cell_length_a 3.5619
_cell_length_b 8.6580
_cell_length_c 8.6308
_cell_angle_alpha 116.64
_cell_angle_beta 101.91
_cell_angle_gamma 90.00
_symmetry_space_group_name_H-M 'P 1'
_symmetry_Int_Tables_number 1
loop_
_symmetry_equiv_pos_as_xyz
'x,y,z'
loop_
_atom_site_label
_atom_site_type_symbol
_atom_site_fract_x
_atom_site_fract_y
_atom_site_fract_z
Sm1 Sm 0.2176 0.1402 0.4352
Pm1 Pm 0.3710 0.6121 0.7419
Pm2 Pm 0.6290 0.3879 0.2581
Pm3 Pm 0.9188 0.2978 0.8377
Sm2 Sm 0.7824 0.8598 0.5648
Pm4 Pm 0.0812 0.7022 0.1623
Cd1 Cd 0.0000 0.0000 0.0000


Record 3
# HoCuSb2 PBE relaxed
# Crystal system: tetragonal
# Space group: No. 129
# ΔE_f (raw) in eV per formula unit: -2.39
data_HoCuSb2
_cell_length_a 4.3200
_cell_length_b 4.3200
_cell_length_c 9.7417
_cell_angle_alpha 90.00
_cell_angle_beta 90.00
_cell_angle_gamma 90.00
_symmetry_space_group_name_H-M 'P 1'
_symmetry_Int_Tables_number 1
loop_
_symmetry_equiv_pos_as_xyz
'x,y,z'
loop_
_atom_site_label
_atom_site_type_symbol
_atom_site_fract_x
_atom_site_fract_y
_atom_site_fract_z
Sb1 Sb 0.0000 0.5000 0.3375
Sb2 Sb 0.5000 0.0000 0.6625
Sb3 Sb 0.5000 0.5000 0.0000
Ho1 Ho 0.0000 0.5000 0.7503
Ho2 Ho 0.5000 0.0000 0.2497
Cu1 Cu 0.0000 0.0000 0.5000
Cu2 Cu 0.5000 0.5000 0.5000
Sb4 Sb 0.0000 0.0000 0.0000


Record 4
# TmUCo3 PBE relaxed
# Crystal system: monoclinic
# Space group: No. 8
# ΔE_f in eV per formula unit: -1.12
data_TmUCo3
_cell_length_a 5.9628
_cell_length_b 6.1837
_cell_length_c 6.0819
_cell_angle_alpha 72.68
_cell_angle_beta 60.64
_cell_angle_gamma 61.18
_symmetry_space_group_name_H-M 'P 1'
_symmetry_Int_Tables_number 1
loop_
_symmetry_equiv_pos_as_xyz
'x,y,z'
loop_
_atom_site_label
_atom_site_type_symbol
_atom_site_fract_x
_atom_site_fract_y
_atom_site_fract_z
Co1 Co 0.1592 0.8341 0.7646
U1 U 0.9416 0.8347 0.1997
U2 U 0.9416 0.3345 0.6999
Tm1 Tm 0.5445 0.9604 0.8682
Tm2 Tm 0.5442 0.4608 0.3685
Co2 Co 0.0583 0.4721 0.8991
Co3 Co 0.0581 0.9732 0.3983
Co4 Co 0.4880 0.9727 0.3988
Co5 Co 0.4881 0.4727 0.8989
Co6 Co 0.1594 0.3345 0.2648


Record 5
# DyMo4 PBE relaxed
# Crystal system: cubic
# Space group: No. 221
# ΔE_f in eV per formula unit: 13.15
data_DyMo4
_cell_length_a 4.6866
_cell_length_b 4.6866
_cell_length_c 4.6866
_cell_angle_alpha 90.00
_cell_angle_beta 90.00
_cell_angle_gamma 90.00
_symmetry_space_group_name_H-M 'P 1'
_symmetry_Int_Tables_number 1
loop_
_symmetry_equiv_pos_as_xyz
'x,y,z'
loop_
_atom_site_label
_atom_site_type_symbol
_atom_site_fract_x
_atom_site_fract_y
_atom_site_fract_z
Mo1 Mo 0.0000 0.5000 0.5000
Mo2 Mo 0.0000 0.0000 0.0000
Dy1 Dy 0.5000 0.5000 0.5000
Mo3 Mo 0.5000 0.0000 0.5000
Mo4 Mo 0.5000 0.5000 0.0000


Record 6
# MgPaIn PBE relaxed
# Crystal system: orthorhombic
# Space group: No. 69
# ΔE_f in eV per formula unit: 0.48
data_MgPaIn
_cell_length_a 5.7879
_cell_length_b 5.1639
_cell_length_c 6.7519
_cell_angle_alpha 76.10
_cell_angle_beta 64.62
_cell_angle_gamma 55.92
_symmetry_space_group_name_H-M 'P 1'
_symmetry_Int_Tables_number 1
loop_
_symmetry_equiv_pos_as_xyz
'x,y,z'
loop_
_atom_site_label
_atom_site_type_symbol
_atom_site_fract_x
_atom_site_fract_y
_atom_site_fract_z
Pa1 Pa 0.8457 0.3085 0.0000
Mg1 Mg 0.2500 0.5000 0.5000
Mg2 Mg 0.7500 0.5000 0.5000
Pa2 Pa 0.1543 0.6915 0.0000
In1 In 0.6225 0.0000 0.7550
In2 In 0.3775 0.0000 0.2450


Record 7
# PaSbO4 PBE relaxed
# Crystal system: orthorhombic
# Space group: No. 65
# ΔE_f (raw) in eV per formula unit: -15.12
data_PaSbO4
_cell_length_a 3.5973
_cell_length_b 5.1361
_cell_length_c 5.1362
_cell_angle_alpha 89.47
_cell_angle_beta 90.00
_cell_angle_gamma 90.00
_symmetry_space_group_name_H-M 'P 1'
_symmetry_Int_Tables_number 1
loop_
_symmetry_equiv_pos_as_xyz
'x,y,z'
loop_
_atom_site_label
_atom_site_type_symbol
_atom_site_fract_x
_atom_site_fract_y
_atom_site_fract_z
Sb1 Sb 0.0000 0.5000 0.5000
Pa1 Pa 0.5000 0.0000 0.0000
O1 O 0.0000 0.8170 0.8170
O2 O 0.5000 0.2958 0.7042
O3 O 0.0000 0.1830 0.1830
O4 O 0.5000 0.7042 0.2958


Record 8
# Ba2LaZnS5 PBE relaxed
# Crystal system: orthorhombic
# Space group: No. 36
# ΔE_f (raw) in eV per formula unit: -14.60
data_Ba2LaZnS5
_cell_length_a 4.2902
_cell_length_b 8.9952
_cell_length_c 13.2597
_cell_angle_alpha 90.00
_cell_angle_beta 90.00
_cell_angle_gamma 103.80
_symmetry_space_group_name_H-M 'P 1'
_symmetry_Int_Tables_number 1
loop_
_symmetry_equiv_pos_as_xyz
'x,y,z'
loop_
_atom_site_label
_atom_site_type_symbol
_atom_site_fract_x
_atom_site_fract_y
_atom_site_fract_z
S1 S 0.6671 0.3342 0.8756
S2 S 0.9903 0.9806 0.4974
S3 S 0.5218 0.0436 0.2543
Ba1 Ba 0.8612 0.7224 0.8556
Ba2 Ba 0.1104 0.2208 0.6876
La1 La 0.8266 0.6533 0.5297
S4 S 0.4782 0.9564 0.7543
Zn1 Zn 0.4676 0.9352 0.4164
S5 S 0.6790 0.3579 0.1789
S6 S 0.3329 0.6658 0.3756
S7 S 0.3210 0.6421 0.6789
S8 S 0.0097 0.0194 0.9974
S9 S 0.6686 0.3373 0.5285
Zn2 Zn 0.5324 0.0648 0.9164
La2 La 0.1734 0.3467 0.0297
Ba3 Ba 0.1388 0.2776 0.3556
Ba4 Ba 0.8896 0.7792 0.1876
S10 S 0.3314 0.6627 0.0285


Per-record calculated volume, A^3/atom: 30.276, 33.068, 22.726, 17.068, 20.588, 25.167, 15.816, 27.608